A plane-wave DFT calculation with PBE-GGA was carried out for a geometry-optimized Ti2FeRePt structure.

Unit cell a=4.687 b=4.687 c=4.759 alpha=90.00 beta=90.00 gamma=90.00
Atoms (fractional coordinates):
Ti1 0.000 0.500 0.000
Ti2 0.500 0.000 0.000
Fe1 0.000 0.000 0.500
Re1 0.500 0.500 0.500
Pt1 0.500 0.500 0.000

Output
space group: P4/mmm

A plane-wave DFT calculation with PBE-GGA was carried out for a geometry-optimized Fe5Pt2Rh structure.

Unit cell a=5.398 b=5.398 c=7.386 alpha=90.00 beta=90.00 gamma=90.00
Atoms (fractional coordinates):
Fe1 0.000 0.000 0.000
Fe2 0.250 0.250 0.250
Fe3 0.250 0.250 0.750
Fe4 0.250 0.750 0.250
Fe5 0.250 0.750 0.750
Fe6 0.500 0.500 0.500
Fe7 0.750 0.250 0.250
Fe8 0.750 0.250 0.750
Fe9 0.750 0.750 0.250
Fe10 0.750 0.750 0.750
Pt1 0.000 0.500 0.000
Pt2 0.000 0.500 0.500
Pt3 0.500 0.000 0.000
Pt4 0.500 0.000 0.500
Rh1 0.000 0.000 0.500
Rh2 0.500 0.500 0.000

Output
space group: I4/mmm

no.,ΔE_f (kcal/mol of atoms)
1,33.53
2,-2.29